(one)
Density functional theory data (SCAN) for CaCd2Ag2 at its PBEsol-relaxed geometry.

a b c (Å): 4.181 4.181 7.040
angles (deg): 107.27 107.27 90.00
Element x y z (fractional)
Ag1 0.250 0.750 0.500
Ag2 0.750 0.250 0.500
Cd1 0.608 0.608 0.216
Cd2 0.392 0.392 0.784
Ca1 0.000 0.000 0.000

Output
density = 7.15 g/cm3
volume = 112 Å³ per cell


(two)
Density functional theory data (SCAN) for CaCd2Ag2 at its PBEsol-relaxed geometry.

a b c (Å): 3.199 8.053 8.053
angles (deg): 90.00 90.00 90.00
Element x y z (fractional)
Cd1 0.000 0.874 0.626
Cd2 0.000 0.126 0.374
Cd3 0.000 0.374 0.874
Cd4 0.000 0.626 0.126
Ag1 0.500 0.172 0.672
Ag2 0.500 0.328 0.172
Ag3 0.500 0.672 0.828
Ag4 0.500 0.828 0.328
Ca1 0.000 0.000 0.000
Ca2 0.000 0.500 0.500

Output
density = 7.69 g/cm3
volume = 207 Å³ per cell


Verdict on stability: (one) comes out on top.